(1)
# P3C | Alexandria | SCAN | PBEsol geometry
data_P3C
_space_group_name_H-M_alt 'P 1'
_space_group_IT_number 1
_space_group_name_Hall 'P 1'
_cell_length_a 3.525
_cell_length_b 3.525
_cell_length_c 6.101
_cell_angle_alpha 110.93
_cell_angle_beta 110.93
_cell_angle_gamma 45.61
loop_
_atom_site_label
_atom_site_type_symbol
_atom_site_fract_x
_atom_site_fract_y
_atom_site_fract_z
P1 P 0.000 0.000 0.000
P2 P 0.162 0.162 0.712
P3 P 0.838 0.838 0.288
C1 C 0.500 0.500 0.500
# * energy relative to the elements: 3.810 eV per formula unit
# * VASP energy: -9.37 eV per atom

---

(2)
# FeC2F2 | Alexandria | SCAN | PBEsol geometry
data_FeC2F2
_space_group_name_H-M_alt 'P 1'
_space_group_IT_number 1
_space_group_name_Hall 'P 1'
_cell_length_a 4.772
_cell_length_b 4.772
_cell_length_c 5.201
_cell_angle_alpha 90.00
_cell_angle_beta 90.00
_cell_angle_gamma 90.00
loop_
_atom_site_label
_atom_site_type_symbol
_atom_site_fract_x
_atom_site_fract_y
_atom_site_fract_z
Fe1 Fe 0.000 0.000 0.000
Fe2 Fe 0.500 0.500 0.000
C1 C 0.248 0.252 0.500
C2 C 0.252 0.752 0.500
C3 C 0.748 0.248 0.500
C4 C 0.752 0.748 0.500
F1 F 0.162 0.662 0.000
F2 F 0.338 0.162 0.000
F3 F 0.662 0.838 0.000
F4 F 0.838 0.338 0.000
# * uncorrected formation energy: 1.25 eV/atom
# * VASP energy: -7.84 eV per atom

---

(3)
# LiMgPb | Alexandria | SCAN | PBEsol geometry
data_LiMgPb
_space_group_name_H-M_alt 'P 1'
_space_group_IT_number 1
_space_group_name_Hall 'P 1'
_cell_length_a 5.234
_cell_length_b 5.234
_cell_length_c 5.234
_cell_angle_alpha 142.20
_cell_angle_beta 130.48
_cell_angle_gamma 63.93
loop_
_atom_site_label
_atom_site_type_symbol
_atom_site_fract_x
_atom_site_fract_y
_atom_site_fract_z
Li1 Li 0.000 0.000 0.000
Mg1 Mg 0.671 0.671 0.000
Pb1 Pb 0.334 0.334 0.000
# * energy relative to the elements: -0.934 eV per formula unit
# * VASP energy: -28.03 eV per atom

---

(4)
# Y2Co17 | Alexandria | SCAN | PBEsol geometry
data_Y2Co17
_space_group_name_H-M_alt 'P 1'
_space_group_IT_number 1
_space_group_name_Hall 'P 1'
_cell_length_a 6.159
_cell_length_b 6.159
_cell_length_c 6.159
_cell_angle_alpha 83.04
_cell_angle_beta 83.04
_cell_angle_gamma 83.04
loop_
_atom_site_label
_atom_site_type_symbol
_atom_site_fract_x
_atom_site_fract_y
_atom_site_fract_z
Y1 Y 0.156 0.156 0.156
Y2 Y 0.844 0.844 0.844
Co1 Co 0.000 0.500 0.500
Co2 Co 0.154 0.154 0.650
Co3 Co 0.154 0.650 0.154
Co4 Co 0.211 0.500 0.789
Co5 Co 0.211 0.789 0.500
Co6 Co 0.350 0.846 0.846
Co7 Co 0.403 0.403 0.403
Co8 Co 0.500 0.000 0.500
Co9 Co 0.500 0.211 0.789
Co10 Co 0.500 0.500 0.000
Co11 Co 0.500 0.789 0.211
Co12 Co 0.597 0.597 0.597
Co13 Co 0.650 0.154 0.154
Co14 Co 0.789 0.211 0.500
Co15 Co 0.789 0.500 0.211
Co16 Co 0.846 0.350 0.846
Co17 Co 0.846 0.846 0.350
# * energy relative to the elements: -1.054 eV per formula unit
# * VASP energy: -18.47 eV per atom

---

(5)
# CoH2O | Alexandria | SCAN | PBEsol geometry
data_CoH2O
_space_group_name_H-M_alt 'P 1'
_space_group_IT_number 1
_space_group_name_Hall 'P 1'
_cell_length_a 3.156
_cell_length_b 3.156
_cell_length_c 3.156
_cell_angle_alpha 60.00
_cell_angle_beta 60.00
_cell_angle_gamma 60.00
loop_
_atom_site_label
_atom_site_type_symbol
_atom_site_fract_x
_atom_site_fract_y
_atom_site_fract_z
Co1 Co 0.000 0.000 0.000
H1 H 0.250 0.250 0.250
H2 H 0.750 0.750 0.750
O1 O 0.500 0.500 0.500
# * VASP energy: -7.13 eV per atom

---

(6)
# ScAgTe2 | Alexandria | SCAN | PBEsol geometry
data_ScAgTe2
_space_group_name_H-M_alt 'P 1'
_space_group_IT_number 1
_space_group_name_Hall 'P 1'
_cell_length_a 7.843
_cell_length_b 7.843
_cell_length_c 7.843
_cell_angle_alpha 132.04
_cell_angle_beta 132.04
_cell_angle_gamma 70.16
loop_
_atom_site_label
_atom_site_type_symbol
_atom_site_fract_x
_atom_site_fract_y
_atom_site_fract_z
Sc1 Sc 0.000 0.000 0.000
Sc2 Sc 0.750 0.250 0.500
Ag1 Ag 0.250 0.750 0.500
Ag2 Ag 0.500 0.500 0.000
Te1 Te 0.127 0.625 0.002
Te2 Te 0.375 0.377 0.502
Te3 Te 0.623 0.125 0.998
Te4 Te 0.875 0.873 0.498
# * uncorrected formation energy: -0.73 eV/atom
# * VASP energy: -30.75 eV per atom

---

(7)
# Co4BrCl | Alexandria | SCAN | PBEsol geometry
data_Co4BrCl
_space_group_name_H-M_alt 'P 1'
_space_group_IT_number 1
_space_group_name_Hall 'P 1'
_cell_length_a 4.940
_cell_length_b 4.940
_cell_length_c 4.940
_cell_angle_alpha 60.00
_cell_angle_beta 60.00
_cell_angle_gamma 60.00
loop_
_atom_site_label
_atom_site_type_symbol
_atom_site_fract_x
_atom_site_fract_y
_atom_site_fract_z
Co1 Co 0.125 0.125 0.125
Co2 Co 0.125 0.125 0.624
Co3 Co 0.125 0.624 0.125
Co4 Co 0.624 0.125 0.125
Br1 Br 0.750 0.750 0.750
Cl1 Cl 0.500 0.500 0.500
# * uncorrected formation energy: 0.77 eV/atom
# * VASP energy: -15.34 eV per atom

---

(8)
# YMnSi2 | Alexandria | SCAN | PBEsol geometry
data_YMnSi2
_space_group_name_H-M_alt 'P 1'
_space_group_IT_number 1
_space_group_name_Hall 'P 1'
_cell_length_a 4.429
_cell_length_b 4.429
_cell_length_c 4.429
_cell_angle_alpha 60.00
_cell_angle_beta 60.00
_cell_angle_gamma 60.00
loop_
_atom_site_label
_atom_site_type_symbol
_atom_site_fract_x
_atom_site_fract_y
_atom_site_fract_z
Y1 Y 0.000 0.000 0.000
Mn1 Mn 0.500 0.500 0.500
Si1 Si 0.250 0.250 0.250
Si2 Si 0.750 0.750 0.750
# * uncorrected formation energy: 0.10 eV/atom
# * VASP energy: -16.43 eV per atom

---

(9)
# BaMgAgSn2 | Alexandria | SCAN | PBEsol geometry
data_BaMgAgSn2
_space_group_name_H-M_alt 'P 1'
_space_group_IT_number 1
_space_group_name_Hall 'P 1'
_cell_length_a 5.322
_cell_length_b 5.322
_cell_length_c 5.843
_cell_angle_alpha 90.00
_cell_angle_beta 90.00
_cell_angle_gamma 90.00
loop_
_atom_site_label
_atom_site_type_symbol
_atom_site_fract_x
_atom_site_fract_y
_atom_site_fract_z
Ba1 Ba 0.000 0.000 0.000
Mg1 Mg 0.500 0.500 0.000
Ag1 Ag 0.000 0.000 0.500
Sn1 Sn 0.000 0.500 0.500
Sn2 Sn 0.500 0.000 0.500
# * energy relative to the elements: 0.619 eV per formula unit
# * VASP energy: -29.42 eV per atom

---

(10)
# LaReSb | Alexandria | SCAN | PBEsol geometry
data_LaReSb
_space_group_name_H-M_alt 'P 1'
_space_group_IT_number 1
_space_group_name_Hall 'P 1'
_cell_length_a 4.899
_cell_length_b 4.899
_cell_length_c 4.899
_cell_angle_alpha 60.00
_cell_angle_beta 60.00
_cell_angle_gamma 60.00
loop_
_atom_site_label
_atom_site_type_symbol
_atom_site_fract_x
_atom_site_fract_y
_atom_site_fract_z
La1 La 0.000 0.000 0.000
Re1 Re 0.750 0.750 0.750
Sb1 Sb 0.250 0.250 0.250
# * uncorrected formation energy: 1.25 eV/atom
# * VASP energy: -49.23 eV per atom

---

(11)
# Mn2BePb | Alexandria | SCAN | PBEsol geometry
data_Mn2BePb
_space_group_name_H-M_alt 'P 1'
_space_group_IT_number 1
_space_group_name_Hall 'P 1'
_cell_length_a 2.961
_cell_length_b 2.961
_cell_length_c 6.091
_cell_angle_alpha 90.00
_cell_angle_beta 90.00
_cell_angle_gamma 90.00
loop_
_atom_site_label
_atom_site_type_symbol
_atom_site_fract_x
_atom_site_fract_y
_atom_site_fract_z
Mn1 Mn 0.000 0.000 0.168
Mn2 Mn 0.000 0.000 0.832
Be1 Be 0.500 0.500 0.000
Pb1 Pb 0.500 0.500 0.500
# * energy relative to the elements: 2.518 eV per formula unit
# * VASP energy: -28.53 eV per atom

---

(12)
# CuNi2 | Alexandria | SCAN | PBEsol geometry
data_CuNi2
_space_group_name_H-M_alt 'P 1'
_space_group_IT_number 1
_space_group_name_Hall 'P 1'
_cell_length_a 10.745
_cell_length_b 10.745
_cell_length_c 10.745
_cell_angle_alpha 161.31
_cell_angle_beta 161.31
_cell_angle_gamma 26.55
loop_
_atom_site_label
_atom_site_type_symbol
_atom_site_fract_x
_atom_site_fract_y
_atom_site_fract_z
Cu1 Cu 0.292 0.542 0.750
Cu2 Cu 0.458 0.708 0.750
Cu3 Cu 0.542 0.292 0.250
Cu4 Cu 0.708 0.458 0.250
Ni1 Ni 0.043 0.793 0.250
Ni2 Ni 0.125 0.375 0.750
Ni3 Ni 0.207 0.957 0.250
Ni4 Ni 0.375 0.125 0.250
Ni5 Ni 0.625 0.875 0.750
Ni6 Ni 0.793 0.043 0.750
Ni7 Ni 0.875 0.625 0.250
Ni8 Ni 0.957 0.207 0.750
# * energy relative to the elements: 0.189 eV per formula unit
# * VASP energy: -15.79 eV per atom

---

Question: Among the records above, which one has the lowest VASP energy?
Answer: LaReSb

---

Question: Look up the VASP energy of the third one.
Answer: -28.03 eV per atom

---

Question: Which of these has the highest VASP energy?
Answer: CoH2O

---

Repeat the second record exactly.
# FeC2F2 | Alexandria | SCAN | PBEsol geometry
data_FeC2F2
_space_group_name_H-M_alt 'P 1'
_space_group_IT_number 1
_space_group_name_Hall 'P 1'
_cell_length_a 4.772
_cell_length_b 4.772
_cell_length_c 5.201
_cell_angle_alpha 90.00
_cell_angle_beta 90.00
_cell_angle_gamma 90.00
loop_
_atom_site_label
_atom_site_type_symbol
_atom_site_fract_x
_atom_site_fract_y
_atom_site_fract_z
Fe1 Fe 0.000 0.000 0.000
Fe2 Fe 0.500 0.500 0.000
C1 C 0.248 0.252 0.500
C2 C 0.252 0.752 0.500
C3 C 0.748 0.248 0.500
C4 C 0.752 0.748 0.500
F1 F 0.162 0.662 0.000
F2 F 0.338 0.162 0.000
F3 F 0.662 0.838 0.000
F4 F 0.838 0.338 0.000
# * uncorrected formation energy: 1.25 eV/atom
# * VASP energy: -7.84 eV per atom